Entry 1:
SiWSe2 | Alexandria via LeMat-Bulk | GGA-PBEsol | relaxed; magnetic moment = 0.0 Bohr magnetons per cell; symmetry = No. 6; raw formation energy = -0.08 eV/atom; Fermi-level density of states = 1.408 states/eV per cell; E_tot = -6.895 eV per atom
1.0
-3.1132 0.6786 0.2259
-0.3207 -0.3416 -3.3933
-1.3680 -6.8828 1.8238
Se Si W
2 1 1
direct
0.0000 0.1755 0.9467
0.5000 0.7625 0.3299
0.0000 0.5116 0.5365
0.5000 0.0504 0.6869

Entry 2:
SiWSe2 | Alexandria via LeMat-Bulk | GGA-PBEsol | relaxed; magnetic moment = 0.0 Bohr magnetons per cell; symmetry = No. 71; raw formation energy = 0.08 eV/atom; Fermi-level density of states = 3.308 states/eV per cell; E_tot = -6.731 eV per atom
1.0
-0.0971 -2.9637 -1.4900
3.8291 -0.1276 0.0043
-1.9644 -1.2220 6.2542
Se Si W
2 1 1
direct
0.3500 0.3500 0.7000
0.6500 0.6500 0.3000
0.0000 0.5000 0.0000
0.5000 0.0000 0.0000

Entry 3:
SiW2Se | Alexandria via LeMat-Bulk | GGA-PBEsol | relaxed; magnetic moment = 0.0 Bohr magnetons per cell; symmetry = No. 166; raw formation energy = 0.28 eV/atom; Fermi-level density of states = 2.781 states/eV per cell; E_tot = -9.018 eV per atom
1.0
-2.3715 0.6009 1.5861
-0.0872 -0.7227 2.8233
2.3419 7.2512 3.4341
Se Si W
1 1 2
direct
0.5000 0.5000 0.5000
0.0000 0.0000 0.0000
0.2497 0.2497 0.2510
0.7503 0.7503 0.7490

Entry 4:
YSiSe3 | Alexandria via LeMat-Bulk | GGA-PBEsol | relaxed; magnetic moment = 0.0 Bohr magnetons per cell; symmetry = No. 221; raw formation energy = 0.02 eV/atom; Fermi-level density of states = 2.807 states/eV per cell; E_tot = -4.800 eV per atom
1.0
-1.2374 5.1785 0.0071
-1.8417 -0.4469 4.9756
4.8399 1.1539 1.8951
Y Si Se
1 1 3
direct
0.0000 0.0000 0.0000
0.5000 0.5000 0.5000
0.0000 0.5000 0.0000
0.0000 0.0000 0.5000
0.5000 0.0000 0.0000

Entry 5:
Zn2SiSe | Alexandria via LeMat-Bulk | GGA-PBEsol | relaxed; magnetic moment = 0.0 Bohr magnetons per cell; symmetry = No. 12; raw formation energy = 0.14 eV/atom; Fermi-level density of states = 1.255 states/eV per cell; E_tot = -3.050 eV per atom
1.0
4.0520 -0.0218 -0.0320
-1.0934 4.3069 0.0056
-1.0934 -1.5715 4.0100
Se Si Zn
1 1 2
direct
0.5000 0.0000 0.0000
0.5000 0.5000 0.5000
0.0000 0.5000 0.0000
0.0000 0.0000 0.5000

Entry 6:
Zn2SiSe | Alexandria via LeMat-Bulk | GGA-PBEsol | relaxed; magnetic moment = 0.0 Bohr magnetons per cell; symmetry = No. 119; raw formation energy = 0.23 eV/atom; Fermi-level density of states = 1.975 states/eV per cell; E_tot = -2.956 eV per atom
1.0
-3.4278 -0.1930 1.3008
0.4663 -3.5740 0.6987
3.2014 3.0276 3.7044
Se Si Zn
1 1 2
direct
0.5000 0.5000 0.0000
0.2500 0.7500 0.5000
0.0000 0.0000 0.0000
0.7500 0.2500 0.5000

Entry 7:
Zn3SiSe | Alexandria via LeMat-Bulk | GGA-PBEsol | relaxed; magnetic moment = 0.0 Bohr magnetons per cell; symmetry = No. 221; raw formation energy = 0.31 eV/atom; Fermi-level density of states = 4.525 states/eV per cell; E_tot = -2.563 eV per atom
1.0
4.6334 0.0000 0.0000
0.0000 4.6334 0.0000
0.0000 0.0000 4.6334
Zn Si Se
3 1 1
direct
0.0000 0.5000 0.0000
0.0000 0.0000 0.5000
0.5000 0.0000 0.0000
0.0000 0.0000 0.0000
0.5000 0.5000 0.5000

Entry 8:
Zn2SiSe | Alexandria via LeMat-Bulk | GGA-PBEsol | relaxed; magnetic moment = 0.0 Bohr magnetons per cell; symmetry = No. 216; raw formation energy = 0.36 eV/atom; Fermi-level density of states = 1.781 states/eV per cell; E_tot = -2.829 eV per atom
1.0
4.5513 0.0000 0.0000
2.2756 3.9415 0.0000
2.2756 1.3138 3.7161
Se Si Zn
1 1 2
direct
0.5000 0.5000 0.5000
0.7500 0.7500 0.7500
0.0000 0.0000 0.0000
0.2500 0.2500 0.2500

Entry 9:
ZrSi2Se | Alexandria via LeMat-Bulk | GGA-PBEsol | relaxed; magnetic moment = 0.0 Bohr magnetons per cell; symmetry = No. 166; raw formation energy = -0.05 eV/atom; Fermi-level density of states = 2.396 states/eV per cell; E_tot = -6.161 eV per atom
1.0
3.2485 0.0000 0.0000
1.6242 2.8133 0.0000
1.6242 0.9378 7.7235
Se Si Zr
1 2 1
direct
0.0000 0.0000 0.0000
0.2564 0.2564 0.2307
0.7436 0.7436 0.7693
0.5000 0.5000 0.5000

Entry 10:
Zr2SiSe | Alexandria via LeMat-Bulk | GGA-PBEsol | relaxed; magnetic moment = 0.0 Bohr magnetons per cell; symmetry = No. 38; raw formation energy = -0.89 eV/atom; Fermi-level density of states = 2.985 states/eV per cell; E_tot = -7.834 eV per atom
1.0
3.2944 0.0000 0.0000
0.0000 4.5708 0.0000
-1.6472 0.0000 4.9043
Se Si Zr
1 1 2
direct
0.5301 0.5000 0.0603
0.7211 0.0000 0.4421
0.9940 0.0000 0.9879
0.2549 0.5000 0.5097

Entry 11:
Zr2SiSe | Alexandria via LeMat-Bulk | GGA-PBEsol | relaxed; magnetic moment = 0.0 Bohr magnetons per cell; symmetry = No. 225; raw formation energy = -0.75 eV/atom; Fermi-level density of states = 5.014 states/eV per cell; E_tot = -7.694 eV per atom
1.0
-3.5419 -1.2499 -2.8000
0.8720 -1.5105 -4.3481
-0.6474 -4.5108 -1.0866
Se Si Zr
1 1 2
direct
0.0000 0.0000 0.0000
0.5000 0.5000 0.5000
0.2500 0.2500 0.2500
0.7500 0.7500 0.7500

Entry 12:
ZrSi2Se | Alexandria via LeMat-Bulk | GGA-PBEsol | relaxed; magnetic moment = 0.0 Bohr magnetons per cell; symmetry = No. 216; raw formation energy = 0.00 eV/atom; Fermi-level density of states = 3.972 states/eV per cell; E_tot = -6.113 eV per atom
1.0
-1.5292 0.2447 4.3697
-1.0632 -3.8797 2.3044
2.6982 -1.4399 3.4841
Se Si Zr
1 2 1
direct
0.5000 0.5000 0.5000
0.0000 0.0000 0.0000
0.7500 0.7500 0.7500
0.2500 0.2500 0.2500

Entry 13:
ZrSiSe | Alexandria via LeMat-Bulk | GGA-PBEsol | relaxed; magnetic moment = 0.0 Bohr magnetons per cell; symmetry = No. 129; raw formation energy = -1.18 eV/atom; Fermi-level density of states = 0.752 states/eV per cell; E_tot = -7.408 eV per atom
1.0
3.5944 0.0000 0.0000
0.0000 3.5944 0.0000
0.0000 0.0000 8.3368
Si Se Zr
2 2 2
direct
0.0000 0.0000 0.0000
0.5000 0.5000 0.0000
0.5000 0.0000 0.6212
0.0000 0.5000 0.3788
0.0000 0.5000 0.7430
0.5000 0.0000 0.2570

Entry 14:
SmSe | Alexandria via LeMat-Bulk | GGA-PBEsol | relaxed; magnetic moment = 0.0 Bohr magnetons per cell; symmetry = No. 225; raw formation energy = -1.88 eV/atom; Fermi-level density of states = 0.918 states/eV per cell; E_tot = -6.352 eV per atom
1.0
4.1088 0.0000 0.0000
2.0544 3.5583 0.0000
2.0544 1.1861 3.3548
Sm Se
1 1
direct
0.5000 0.5000 0.5000
0.0000 0.0000 0.0000

Entry 15:
Sm2Se3 | Alexandria via LeMat-Bulk | GGA-PBEsol | relaxed; magnetic moment = 0.0 Bohr magnetons per cell; symmetry = No. 62; raw formation energy = -1.92 eV/atom; Fermi-level density of states = 0.348 states/eV per cell; E_tot = -6.267 eV per atom
1.0
-3.2195 1.9215 -1.5772
-3.8953 -9.4870 -3.6064
-5.5688 -1.3906 9.6733
Sm Se
8 12
direct
0.2500 0.9992 0.6946
0.7500 0.0008 0.3054
0.7500 0.4992 0.8054
0.2500 0.5008 0.1946
0.2500 0.3133 0.5126
0.7500 0.6867 0.4874
0.7500 0.8133 0.9874
0.2500 0.1867 0.0126
0.7500 0.0571 0.8790
0.2500 0.9429 0.1210
0.2500 0.5571 0.6210
0.7500 0.4429 0.3790
0.2500 0.8757 0.4557
0.7500 0.1243 0.5443
0.7500 0.3757 0.0443
0.2500 0.6243 0.9557
0.2500 0.2994 0.7717
0.7500 0.7006 0.2283
0.7500 0.7994 0.7283
0.2500 0.2006 0.2717

Entry 16:
Sm2Se3 | Alexandria via LeMat-Bulk | GGA-PBEsol | relaxed; magnetic moment = 0.0 Bohr magnetons per cell; symmetry = No. 122; raw formation energy = -1.91 eV/atom; E_tot = -6.260 eV per atom
1.0
-6.4236 5.6569 1.4831
-4.8240 -6.3708 3.4065
10.5864 2.9018 9.3424
Sm Se
16 24
direct
0.1574 0.0470 0.5801
0.4226 0.5330 0.5801
0.8332 0.8332 0.6663
0.1250 0.4942 0.7500
0.8274 0.7030 0.9199
0.4168 0.9168 0.8337
0.0926 0.2170 0.9199
0.6250 0.2558 0.7500
0.7830 0.1726 0.0801
0.0832 0.5832 0.1663
0.5058 0.3750 0.2500
0.7442 0.8750 0.2500
0.2970 0.9074 0.0801
0.1668 0.1668 0.3337
0.4670 0.8426 0.4199
0.9530 0.5774 0.4199
0.4906 0.8912 0.6345
0.9274 0.1747 0.7060
0.1439 0.7434 0.6345
0.1061 0.8588 0.8655
0.7594 0.0066 0.8655
0.3226 0.2187 0.7940
0.7787 0.5313 0.7060
0.1581 0.5646 0.9689
0.4713 0.5753 0.7940
0.5957 0.8419 0.0311
0.8108 0.4043 0.9689
0.7813 0.5287 0.2060
0.4247 0.6774 0.2060
0.9934 0.8939 0.1345
0.4354 0.1892 0.0311
0.8253 0.2213 0.2940
0.1412 0.2406 0.1345
0.2566 0.5094 0.3655
0.4687 0.0726 0.2940
0.4392 0.1854 0.5311
0.0919 0.3457 0.5311
0.6543 0.5608 0.4689
0.1088 0.8561 0.3655
0.8146 0.9081 0.4689

Entry 17:
SmSe2 | Alexandria via LeMat-Bulk | GGA-PBEsol | relaxed; magnetic moment = 0.0 Bohr magnetons per cell; symmetry = No. 129; raw formation energy = -1.66 eV/atom; Fermi-level density of states = 0.797 states/eV per cell; E_tot = -5.923 eV per atom
1.0
4.0663 0.0000 0.0000
0.0000 4.0663 0.0000
0.0000 0.0000 8.3561
Se Sm
4 2
direct
0.5000 0.5000 0.0000
0.0000 0.0000 0.0000
0.5000 0.0000 0.3682
0.0000 0.5000 0.6318
0.0000 0.5000 0.2729
0.5000 0.0000 0.7271